1.
Here is a relaxed Ca2Tl4Sn crystal from Alexandria via LeMat-Bulk. Energies are from PBE.

Computed properties:
The value obtained for the density of states at the Fermi level is 8.5 states/eV per cell. The value obtained for the relative energy among the computed polymorphs is 0.000 eV per atom. The space group is P2_1/m, No. 11.

Cell and atoms, written as extended XYZ:
```
14
Lattice="-5.5680 2.7731 0.3833 -3.7127 -7.2840 -1.2332 1.7184 2.2507 8.6782" Properties=species:S:1:pos:R:3 pbc="T T T"
Tl -0.0510 -0.9738 6.3948
Tl -4.8121 0.6526 1.3736
Sn -4.6497 -5.9730 1.0017
Ca -3.8199 -4.7097 3.9159
Tl -7.5112 -1.2864 1.4336
Tl -4.7372 -2.6679 1.2426
Sn -2.9125 3.7128 6.8267
Ca -2.1073 -0.7278 -0.0137
Ca -5.4549 -1.5324 7.8420
Tl -2.8250 0.4077 6.5858
Tl -2.7502 -2.9128 6.4548
Tl -2.1792 -1.3551 3.4798
Ca -3.7423 2.4495 3.9124
Tl -5.3830 -0.9051 4.3486
```



2.
Here is a relaxed CaTlSn3 crystal from Alexandria via LeMat-Bulk. Energies are from PBE.

Computed properties:
The value obtained for the density of states at the Fermi level is 5.2 states/eV per cell. The value obtained for the relative energy among the computed polymorphs is 0.000 eV per atom. The space group is Pm-3m, No. 221.

Cell and atoms, written as extended XYZ:
```
5
Lattice="5.7183 0.0000 0.0000 0.0000 5.7183 0.0000 0.0000 0.0000 5.7183" Properties=species:S:1:pos:R:3 pbc="T T T"
Sn 0.0000 2.8592 0.0000
Tl 0.0000 0.0000 0.0000
Ca 2.8592 2.8592 2.8592
Sn 2.8592 0.0000 0.0000
Sn 0.0000 0.0000 2.8592
```



3.
Here is a relaxed CaTl2Sn2 crystal from Alexandria via LeMat-Bulk. Energies are from PBE.

Computed properties:
The value obtained for the density of states at the Fermi level is 6.3 states/eV per cell. The value obtained for the relative energy among the computed polymorphs is 0.114 eV per atom. The space group is P4/mbm, No. 127.

Cell and atoms, written as extended XYZ:
```
10
Lattice="8.7039 0.0000 0.0000 0.0000 8.7039 0.0000 0.0000 0.0000 3.9193" Properties=species:S:1:pos:R:3 pbc="T T T"
Sn 1.4090 5.7609 1.9596
Tl 5.5284 1.1765 0.0000
Tl 7.5274 5.5284 0.0000
Sn 2.9430 1.4090 1.9596
Ca 0.0000 0.0000 0.0000
Tl 3.1755 7.5274 0.0000
Tl 1.1765 3.1755 0.0000
Sn 5.7609 7.2949 1.9596
Ca 4.3519 4.3519 0.0000
Sn 7.2949 2.9430 1.9596
```



4.
Here is a relaxed CaTl2Sn2 crystal from Alexandria via LeMat-Bulk. Energies are from PBE.

Computed properties:
The value obtained for the density of states at the Fermi level is 3.0 states/eV per cell. The value obtained for the relative energy among the computed polymorphs is 0.093 eV per atom. The space group is I4/mmm, No. 139.

Cell and atoms, written as extended XYZ:
```
5
Lattice="-1.8792 3.9897 -1.3611 -3.6273 -0.7711 2.7476 0.7336 5.1621 6.2935" Properties=species:S:1:pos:R:3 pbc="T T T"
Ca 0.0000 0.0000 0.0000
Sn -2.6839 6.0945 5.9199
Tl -1.9494 5.3805 2.8128
Sn -2.0890 2.2861 1.7601
Tl -2.8234 3.0001 4.8672
```



5.
Here is a relaxed Ca4Tl3Sn crystal from Alexandria via LeMat-Bulk. Energies are from PBE.

Computed properties:
The value obtained for the density of states at the Fermi level is 4.8 states/eV per cell. As for the total energy: -2.87 eV per atom. The space group is P4/mmm, No. 123.

Cell and atoms, written as extended XYZ:
```
8
Lattice="3.8648 0.0000 0.0000 0.0000 3.8648 0.0000 0.0000 0.0000 15.6592" Properties=species:S:1:pos:R:3 pbc="T T T"
Tl 1.9324 1.9324 7.8296
Tl 1.9324 1.9324 3.9458
Ca 0.0000 0.0000 1.9520
Sn 1.9324 1.9324 0.0000
Ca 0.0000 0.0000 13.7072
Ca 0.0000 0.0000 9.7940
Ca 0.0000 0.0000 5.8653
Tl 1.9324 1.9324 11.7134
```



6.
Here is a relaxed CaTlSn4 crystal from Alexandria via LeMat-Bulk. Energies are from PBE.

Computed properties:
The value obtained for the density of states at the Fermi level is 2.8 states/eV per cell. The value obtained for the relative energy among the computed polymorphs is 0.000 eV per atom. The space group is Immm, No. 71.

Cell and atoms, written as extended XYZ:
```
6
Lattice="4.9591 0.0000 2.6259 1.5861 5.3153 3.0002 -0.1639 0.0464 6.3052" Properties=species:S:1:pos:R:3 pbc="T T T"
Sn 2.2422 2.2737 4.7590
Sn 2.9368 4.9038 9.4427
Tl 0.7931 2.6577 1.5001
Sn 4.1391 3.0880 7.1723
Ca -0.0820 0.0232 3.1526
Sn 3.4444 0.4579 2.4886
```